# 1
Below is crystalline In2BiRuI at its relaxed geometry, with properties calculated at the PBE-GGA level.

Values from the calculation:
Total energy   -20.61 eV for the cell shown

a = 5.409 Å, b = 5.409 Å, c = 5.182 Å
α = 90.00°, β = 90.00°, γ = 90.00°
Positions (direct):
In 0.000 0.500 0.000
In 0.500 0.000 0.000
Bi 0.000 0.000 0.500
Ru 0.000 0.000 0.000
I 0.500 0.500 0.500



# 2
Below is crystalline InBiS2I at its relaxed geometry, with properties calculated at the PBE-GGA level.

Values from the calculation:
Total energy   -36.19 eV for the cell shown

a = 8.057 Å, b = 4.310 Å, c = 11.195 Å
α = 90.00°, β = 110.26°, γ = 90.00°
Positions (direct):
In 0.122 0.250 0.151
In 0.878 0.750 0.849
Bi 0.142 0.250 0.661
Bi 0.858 0.750 0.339
S 0.085 0.250 0.898
S 0.088 0.250 0.397
S 0.912 0.750 0.603
S 0.915 0.750 0.102
I 0.472 0.750 0.732
I 0.528 0.250 0.268



# 3
Below is crystalline InBiSb2I at its relaxed geometry, with properties calculated at the PBE-GGA level.

Values from the calculation:
Total energy   -13.48 eV for the cell shown

a = 5.699 Å, b = 5.699 Å, c = 5.636 Å
α = 90.00°, β = 90.00°, γ = 90.00°
Positions (direct):
In 0.000 0.000 0.000
Bi 0.500 0.500 0.500
Sb 0.000 0.500 0.000
Sb 0.500 0.000 0.000
I 0.000 0.000 0.500



# 4
Below is crystalline InBiSb2I at its relaxed geometry, with properties calculated at the PBE-GGA level.

Values from the calculation:
Total energy   -13.88 eV for the cell shown

a = 5.867 Å, b = 5.867 Å, c = 6.387 Å
α = 90.00°, β = 90.00°, γ = 90.00°
Positions (direct):
In 0.000 0.000 0.000
Bi 0.500 0.500 0.500
Sb 0.000 0.500 0.500
Sb 0.500 0.000 0.500
I 0.500 0.500 0.000



# 5
Below is crystalline In2Bi3Se7I at its relaxed geometry, with properties calculated at the PBE-GGA level.

Values from the calculation:
Total energy   -195.38 eV for the cell shown

a = 27.551 Å, b = 4.183 Å, c = 13.995 Å
α = 90.00°, β = 90.00°, γ = 90.00°
Positions (direct):
In 0.037 0.250 0.078
In 0.053 0.750 0.527
In 0.447 0.250 0.027
In 0.463 0.750 0.578
In 0.537 0.250 0.422
In 0.553 0.750 0.973
In 0.947 0.250 0.473
In 0.963 0.750 0.922
Bi 0.160 0.750 0.184
Bi 0.189 0.250 0.914
Bi 0.191 0.250 0.542
Bi 0.309 0.750 0.042
Bi 0.311 0.750 0.414
Bi 0.340 0.250 0.684
Bi 0.660 0.750 0.316
Bi 0.689 0.250 0.586
Bi 0.691 0.250 0.958
Bi 0.809 0.750 0.458
Bi 0.811 0.750 0.086
Bi 0.840 0.250 0.816
Se 0.015 0.250 0.618
Se 0.023 0.250 0.888
Se 0.093 0.250 0.232
Se 0.123 0.750 0.004
Se 0.136 0.750 0.442
Se 0.233 0.250 0.095
Se 0.240 0.250 0.368
Se 0.260 0.750 0.868
Se 0.267 0.750 0.595
Se 0.364 0.250 0.942
Se 0.377 0.250 0.504
Se 0.407 0.750 0.732
Se 0.477 0.750 0.388
Se 0.485 0.750 0.118
Se 0.515 0.250 0.882
Se 0.523 0.250 0.612
Se 0.593 0.250 0.268
Se 0.623 0.750 0.496
Se 0.636 0.750 0.058
Se 0.733 0.250 0.405
Se 0.740 0.250 0.132
Se 0.760 0.750 0.632
Se 0.767 0.750 0.905
Se 0.864 0.250 0.558
Se 0.877 0.250 0.996
Se 0.907 0.750 0.768
Se 0.977 0.750 0.112
Se 0.985 0.750 0.382
I 0.140 0.750 0.727
I 0.360 0.250 0.227
I 0.640 0.750 0.773
I 0.860 0.250 0.273



# 6
Below is crystalline InBiTe2I at its relaxed geometry, with properties calculated at the PBE-GGA level.

Values from the calculation:
Total energy   -13.86 eV for the cell shown

a = 5.955 Å, b = 5.955 Å, c = 6.236 Å
α = 90.00°, β = 90.00°, γ = 90.00°
Positions (direct):
In 0.000 0.000 0.000
Bi 0.500 0.500 0.500
Te 0.000 0.500 0.500
Te 0.500 0.000 0.500
I 0.500 0.500 0.000



# 7
Below is crystalline InBiTeI2 at its relaxed geometry, with properties calculated at the PBE-GGA level.

Values from the calculation:
Total energy   -12.77 eV for the cell shown

a = 6.499 Å, b = 6.499 Å, c = 6.618 Å
α = 90.00°, β = 90.00°, γ = 90.00°
Positions (direct):
In 0.000 0.000 0.000
Bi 0.500 0.500 0.500
Te 0.500 0.500 0.000
I 0.000 0.500 0.500
I 0.500 0.000 0.500



# 8
Below is crystalline InBiTeI2 at its relaxed geometry, with properties calculated at the PBE-GGA level.

Values from the calculation:
Total energy   -11.74 eV for the cell shown

a = 5.756 Å, b = 5.756 Å, c = 5.840 Å
α = 90.00°, β = 90.00°, γ = 90.00°
Positions (direct):
In 0.000 0.000 0.000
Bi 0.500 0.500 0.500
Te 0.000 0.000 0.500
I 0.000 0.500 0.000
I 0.500 0.000 0.000



# 9
Below is crystalline InBiTe2I at its relaxed geometry, with properties calculated at the PBE-GGA level.

Values from the calculation:
Total energy   -12.86 eV for the cell shown

a = 5.737 Å, b = 5.737 Å, c = 5.653 Å
α = 90.00°, β = 90.00°, γ = 90.00°
Positions (direct):
In 0.000 0.000 0.000
Bi 0.500 0.500 0.500
Te 0.000 0.500 0.000
Te 0.500 0.000 0.000
I 0.000 0.000 0.500



# 10
Below is crystalline TlIn2BiI6 at its relaxed geometry, with properties calculated at the PBE-GGA level.

Values from the calculation:
Total energy   -25.87 eV for the cell shown

a = 8.592 Å, b = 8.601 Å, c = 9.055 Å
α = 90.01°, β = 118.31°, γ = 119.95°
Positions (direct):
Tl 0.000 0.000 0.000
In 0.601 0.300 0.901
In 0.617 0.808 0.425
Bi 0.988 0.494 0.481
I 0.096 0.393 0.226
I 0.102 0.252 0.708
I 0.456 0.850 0.709
I 0.524 0.131 0.226
I 0.832 0.702 0.225
I 0.858 0.606 0.709



# 11
Below is crystalline Zr2InBiI at its relaxed geometry, with properties calculated at the PBE-GGA level.

Values from the calculation:
Total energy   -20.25 eV for the cell shown

a = 5.577 Å, b = 5.577 Å, c = 6.304 Å
α = 90.00°, β = 90.00°, γ = 90.00°
Positions (direct):
Zr 0.000 0.500 0.000
Zr 0.500 0.000 0.000
In 0.000 0.000 0.500
Bi 0.500 0.500 0.000
I 0.500 0.500 0.500



# 12
Below is crystalline Bi4IrI at its relaxed geometry, with properties calculated at the PBE-GGA level.

Values from the calculation:
Total energy   -52.53 eV for the cell shown

a = 8.879 Å, b = 8.879 Å, c = 6.728 Å
α = 104.59°, β = 104.59°, γ = 66.41°
Positions (direct):
Bi 0.052 0.729 0.420
Bi 0.167 0.167 0.097
Bi 0.245 0.755 0.000
Bi 0.271 0.948 0.580
Bi 0.729 0.052 0.420
Bi 0.755 0.245 0.000
Bi 0.833 0.833 0.903
Bi 0.948 0.271 0.580
Ir 0.006 0.006 0.223
Ir 0.994 0.994 0.777
I 0.356 0.356 0.651
I 0.644 0.644 0.349